Compound: Ag4Te3
Source: Alexandria
Functional: PBE
Structure: optimized geometry

Cell lengths 5.787, 5.787, 5.787 Å; angles 90.00, 90.00, 90.00 degrees
Sites, in units of the cell vectors:
Ag 0.000 0.000 0.000
Ag 0.000 0.500 0.500
Ag 0.500 0.000 0.500
Ag 0.500 0.500 0.000
Te 0.000 0.500 0.000
Te 0.000 0.000 0.500
Te 0.500 0.000 0.000

E_form (uncorrected), eV per atom: 0.058
Spin magnetization, μB/cell: 0.000
Calculated total energy, eV/atom: -2.92
Density, g cm⁻³: 6.977
E above lowest polymorph, meV/atom: 27



Compound: MnCdP2
Source: Alexandria
Functional: PBE
Structure: optimized geometry

Cell lengths 4.901, 4.901, 2.820 Å; angles 90.00, 90.00, 90.01 degrees
Site moments in Bohr magnetons follow the coordinates.
Sites, in units of the cell vectors:
Cd 0.500 0.000 0.500  0.00
Mn 0.000 0.500 0.500  3.76
P 0.000 0.000 0.000  0.00
P 0.500 0.500 0.000  0.00

E_form, eV per formula unit: 1.5
Spin magnetization, μB/cell: 3.998
Calculated total energy, eV/atom: -4.86
Density, g cm⁻³: 5.622



Question: spin magnetization of number 1 (Ag4Te3)?
Answer: 0.000 μB/cell



Repeat the second record exactly.
Compound: MnCdP2
Source: Alexandria
Functional: PBE
Structure: optimized geometry

Cell lengths 4.901, 4.901, 2.820 Å; angles 90.00, 90.00, 90.01 degrees
Site moments in Bohr magnetons follow the coordinates.
Sites, in units of the cell vectors:
Cd 0.500 0.000 0.500  0.00
Mn 0.000 0.500 0.500  3.76
P 0.000 0.000 0.000  0.00
P 0.500 0.500 0.000  0.00

E_form, eV per formula unit: 1.5
Spin magnetization, μB/cell: 3.998
Calculated total energy, eV/atom: -4.86
Density, g cm⁻³: 5.622



Question: What is the formula in the first record?
Answer: Ag4Te3